[1]
Compound: La2AuSe
Source: Alexandria via LeMat-Bulk
Functional: GGA-PBEsol
Structure: optimized geometry

Cell lengths 7.7679, 7.7679, 7.7679 Å; angles 31.42, 31.42, 31.42 degrees
Closest atoms and distances in Å follow each position.
Positions (direct):
1 La 0.2488 0.2488 0.2488  3 Se 3.03, 3 Au 3.07
2 La 0.7512 0.7512 0.7512  3 Se 3.03, 3 Au 3.07
3 Au 0.0000 0.0000 0.0000  6 La 3.07
4 Se 0.5000 0.5000 0.5000  6 La 3.03

Properties
Its symmetry is No. 166.


[2]
Compound: LaAuSe2
Source: Alexandria via LeMat-Bulk
Functional: GGA-PBEsol
Structure: optimized geometry

Cell lengths 3.9655, 3.9655, 6.0738 Å; angles 90.00, 90.00, 90.00 degrees
Closest atoms and distances in Å follow each position.
Positions (direct):
1 La 0.0000 0.0000 0.0000  2 Au 3.04, 8 Se 3.11
2 Au 0.0000 0.0000 0.5000  2 La 3.04, 8 Se 3.28
3 Se 0.5000 0.5000 0.2198  1 Se 2.67
4 Se 0.5000 0.5000 0.7802  1 Se 2.67

Properties
Its symmetry is No. 123.


[3]
Compound: LaSi2Au
Source: Alexandria via LeMat-Bulk
Functional: GGA-PBEsol
Structure: optimized geometry

Cell lengths 4.9866, 4.9866, 4.9866 Å; angles 129.97, 107.74, 93.03 degrees
Closest atoms and distances in Å follow each position.
Positions (direct):
1 La 0.0000 0.0000 0.0000  8 Si 3.01-3.21
2 Si 0.3127 0.8127 0.5000  2 Au 2.47, 1 Si 2.57
3 Si 0.6873 0.1873 0.5000  2 Au 2.47, 1 Si 2.57
4 Au 0.5000 0.5000 0.0000  4 Si 2.47

Properties
Its symmetry is No. 71.


[4]
Compound: LaSi2Au
Source: Alexandria via LeMat-Bulk
Functional: GGA-PBEsol
Structure: optimized geometry

Cell lengths 3.2811, 3.5602, 6.6485 Å; angles 90.00, 90.00, 90.00 degrees
Closest atoms and distances in Å follow each position.
Positions (direct):
1 La 0.0000 0.0000 0.0000  6 Si 3.16-3.47, 4 Au 3.19, 2 La 3.28
2 Si 0.0000 0.0000 0.4784  4 Si 2.68, 4 Au 2.79
3 Si 0.5000 0.5000 0.3060  1 Au 2.53, 4 Si 2.68
4 Au 0.5000 0.5000 0.6871  5 Si 2.53-2.79

Properties
Its symmetry is No. 25.


| no. | N(E_F) (states/eV per cell) | E (eV/atom) |
| --- | --- | --- |
| 1 | 4.53 | -5.9104 |
| 2 | 1.80 | -5.0304 |
| 3 | 1.77 | -5.6357 |
| 4 | 2.46 | -5.5050 |